Compound: LiCe2TiS5
Source: Alexandria via LeMat-Bulk
Functional: PBE
Structure: optimized geometry

Output
Formation energy from raw total energies in eV/atom: -1.689

Cell: 3.8521 8.2589 11.4541 Å, 90.00 90.00 103.49°
Last column: nearest neighbours and their distance in Å.
Sites, in units of the cell vectors:
1 S 0.5057 0.0114 0.2749  1 Li 2.29
2 S 0.6448 0.2896 0.5010  1 Ti 2.53
3 S 0.6901 0.3802 0.8644  1 Li 2.47, 2 Ti 2.58
4 S 0.9442 0.8884 0.5626  2 Li 2.27, 1 Ti 2.35
5 S 0.3099 0.6198 0.3644  1 Li 2.47, 2 Ti 2.58
6 S 0.4943 0.9886 0.7749  1 Li 2.29
7 S 0.3552 0.7104 0.0010  1 Ti 2.53
8 S 0.0558 0.1116 0.0626  2 Li 2.27, 1 Ti 2.35
9 S 0.7152 0.4304 0.1576  2 Ti 2.55, 1 Ce 2.85
10 S 0.2848 0.5696 0.6576  2 Ti 2.55, 1 Ce 2.85
11 Ce 0.1089 0.2177 0.6885  8 S 2.84-3.08
12 Ce 0.8665 0.7330 0.8033  8 S 2.83-3.03
13 Ce 0.1335 0.2670 0.3033  8 S 2.83-3.03
14 Ce 0.8911 0.7823 0.1885  8 S 2.84-3.08
15 Ti 0.8018 0.6036 0.5138  6 S 2.35-2.58
16 Ti 0.1982 0.3964 0.0138  6 S 2.35-2.58
17 Li 0.5513 0.1025 0.9579  4 S 2.27-2.47
18 Li 0.4487 0.8975 0.4579  4 S 2.27-2.47